[1]
DFT (GGA-PBEsol) results for an optimized crystal structure of ScFe3Pb.

Cell lengths 4.4695, 4.4695, 4.4695 Å; angles 90.00, 90.00, 90.00 degrees
Closest atoms and distances in Å follow each position.
Fractional positions:
Fe: 0.5000 0.0000 0.0000  2 Sc 2.23
Fe: 0.0000 0.0000 0.5000  2 Sc 2.23
Fe: 0.0000 0.5000 0.0000  2 Sc 2.23
Sc: 0.0000 0.0000 0.0000  6 Fe 2.23
Pb: 0.5000 0.5000 0.5000  12 Fe 3.16

Calculated values
energy of formation from the pure elements: 1.304 eV/atom

[2]
DFT (GGA-PBEsol) results for an optimized crystal structure of Li2HgAu.

Cell lengths 3.1046, 4.5790, 5.0033 Å; angles 105.24, 107.83, 90.16 degrees
Closest atoms and distances in Å follow each position.
Fractional positions:
Li: 0.0057 0.0278 0.0084  3 Hg 2.73-2.82, 4 Au 2.73-2.80, 3 Li 2.96-2.99
Li: 0.2393 0.7141 0.4812  3 Au 2.64-2.87, 4 Hg 2.75-2.78, 1 Li 2.96
Hg: 0.7469 0.2202 0.4951  7 Li 2.73-2.82, 3 Au 2.94-3.03
Au: 0.5082 0.5379 0.0152  7 Li 2.64-2.87, 2 Hg 2.94-2.95

Calculated values
energy of formation from the pure elements: -0.409 eV/atom
offset from the most stable computed form: 0.058 eV/atom

[3]
DFT (GGA-PBEsol) results for an optimized crystal structure of CaTaTe2.

Cell lengths 3.4961, 3.4961, 7.4846 Å; angles 90.00, 90.00, 90.00 degrees
Closest atoms and distances in Å follow each position.
Fractional positions:
Ca: 0.5000 0.5000 0.0000  8 Te 3.25, 4 Ca 3.50
Ta: 0.5000 0.5000 0.5000  8 Te 2.96
Te: 0.0000 0.0000 0.2819  4 Ta 2.96, 4 Ca 3.25, 1 Te 3.26
Te: 0.0000 0.0000 0.7181  4 Ta 2.96, 4 Ca 3.25, 1 Te 3.26

Calculated values
energy relative to the elements, uncorrected: -44.90 kJ per mole of atoms
offset from the most stable computed form: 0.052 eV/atom

[4]
DFT (GGA-PBEsol) results for an optimized crystal structure of LaSi2P.

Cell lengths 4.1393, 4.3973, 4.5936 Å; angles 90.00, 90.00, 93.15 degrees
Closest atoms and distances in Å follow each position.
Fractional positions:
La: 0.0000 0.5000 0.5000  4 P 2.94-3.10, 4 Si 3.03
Si: 0.7303 0.8575 0.0000  2 Si 2.34-2.50, 2 P 2.58
Si: 0.2697 0.1425 0.0000  2 Si 2.34-2.50, 2 P 2.58
P: 0.5000 0.0000 0.5000  4 Si 2.58

Calculated values
energy relative to the elements, uncorrected: -40.88 kJ per mole of atoms

[5]
DFT (GGA-PBEsol) results for an optimized crystal structure of SiSnSb2Te.

Cell lengths 5.1548, 5.1548, 5.2514 Å; angles 90.00, 90.00, 90.00 degrees
Closest atoms and distances in Å follow each position.
Fractional positions:
Te: 0.0000 0.0000 0.5000  2 Si 2.63
Sb: 0.5000 0.0000 0.0000  2 Si 2.58
Sb: 0.0000 0.5000 0.0000  2 Si 2.58
Si: 0.0000 0.0000 0.0000  4 Sb 2.58, 2 Te 2.63
Sn: 0.5000 0.5000 0.5000  4 Te 3.64, 8 Sb 3.68

Calculated values
energy relative to the elements, uncorrected: 43.14 kJ per mole of atoms
offset from the most stable computed form: 0.000 eV/atom

[6]
DFT (GGA-PBEsol) results for an optimized crystal structure of SrMnCu2Se.

Cell lengths 5.0507, 5.0507, 5.5273 Å; angles 90.00, 90.00, 90.00 degrees
Closest atoms and distances in Å follow each position.
Fractional positions:
Sr: 0.0000 0.0000 0.0000  4 Cu 2.53, 2 Se 2.76
Cu: 0.5000 0.0000 0.0000  2 Sr 2.53
Cu: 0.0000 0.5000 0.0000  2 Sr 2.53
Se: 0.0000 0.0000 0.5000  2 Sr 2.76
Mn: 0.5000 0.5000 0.5000  4 Se 3.57, 8 Cu 3.74

Calculated values
energy relative to the elements, uncorrected: 126.06 kJ per mole of atoms

[7]
DFT (GGA-PBEsol) results for an optimized crystal structure of Sr5Cr2N6.

Cell lengths 6.0076, 6.0076, 13.4422 Å; angles 80.36, 80.36, 65.63 degrees
Closest atoms and distances in Å follow each position.
Fractional positions:
N: 0.7974 0.6553 0.0637  2 Cr 1.84-1.89
N: 0.9949 0.8805 0.8734  1 Cr 1.75
N: 0.6040 0.6982 0.3618  1 Cr 1.78
N: 0.3018 0.3960 0.1382  1 Cr 1.78
N: 0.0051 0.1195 0.1266  1 Cr 1.75
N: 0.3960 0.3018 0.6382  1 Cr 1.78
N: 0.1195 0.0051 0.6266  1 Cr 1.75
N: 0.6982 0.6040 0.8618  1 Cr 1.78
N: 0.8805 0.9949 0.3734  1 Cr 1.75
N: 0.2026 0.3447 0.9363  2 Cr 1.84-1.89
N: 0.3447 0.2026 0.4363  2 Cr 1.84-1.89
N: 0.6553 0.7974 0.5637  2 Cr 1.84-1.89
Sr: 0.9263 0.7570 0.2188  5 N 2.50-2.63
Sr: 0.6681 0.1946 0.9949  5 N 2.64-2.84
Sr: 0.2430 0.0737 0.2812  5 N 2.50-2.63
Sr: 0.8054 0.3319 0.5051  5 N 2.64-2.84
Sr: 0.6113 0.3887 0.2500  4 N 2.56-2.72
Sr: 0.3887 0.6113 0.7500  4 N 2.56-2.72
Sr: 0.3319 0.8054 0.0051  5 N 2.64-2.84
Sr: 0.1946 0.6681 0.4949  5 N 2.64-2.84
Sr: 0.7570 0.9263 0.7188  5 N 2.50-2.63
Sr: 0.0737 0.2430 0.7812  5 N 2.50-2.63
Cr: 0.6361 0.9136 0.4284  4 N 1.75-1.89
Cr: 0.3639 0.0864 0.5716  4 N 1.75-1.89
Cr: 0.9136 0.6361 0.9284  4 N 1.75-1.89
Cr: 0.0864 0.3639 0.0716  4 N 1.75-1.89

Calculated values
energy relative to the elements, uncorrected: -91.18 kJ per mole of atoms

[8]
DFT (GGA-PBEsol) results for an optimized crystal structure of BePb3Se.

Cell lengths 5.0300, 5.0300, 5.0300 Å; angles 90.00, 90.00, 90.00 degrees
Closest atoms and distances in Å follow each position.
Fractional positions:
Pb: 0.5000 0.0000 0.0000  2 Be 2.52
Pb: 0.0000 0.5000 0.0000  2 Be 2.52
Pb: 0.0000 0.0000 0.5000  2 Be 2.52
Se: 0.5000 0.5000 0.5000  12 Pb 3.56
Be: 0.0000 0.0000 0.0000  6 Pb 2.52

Calculated values
energy relative to the elements, uncorrected: 24.01 kJ per mole of atoms

[9]
DFT (GGA-PBEsol) results for an optimized crystal structure of EuSi2Ir2.

Cell lengths 4.0706, 4.0706, 5.8049 Å; angles 110.52, 110.52, 90.00 degrees
Closest atoms and distances in Å follow each position.
Fractional positions:
Si: 0.3751 0.3751 0.7502  4 Ir 2.39, 1 Si 2.52
Si: 0.6249 0.6249 0.2498  4 Ir 2.39, 1 Si 2.52
Eu: 0.0000 0.0000 0.0000  8 Si 3.14, 8 Ir 3.24
Ir: 0.2500 0.7500 0.5000  4 Si 2.39
Ir: 0.7500 0.2500 0.5000  4 Si 2.39

Calculated values
energy relative to the elements, uncorrected: -98.14 kJ per mole of atoms

[10]
DFT (GGA-PBEsol) results for an optimized crystal structure of Ir2SeCl.

Cell lengths 2.8406, 5.1403, 5.1403 Å; angles 113.54, 104.03, 104.03 degrees
Closest atoms and distances in Å follow each position.
Fractional positions:
Se: 0.0000 0.0000 0.0000  4 Ir 2.57, 2 Cl 2.82, 2 Se 2.84
Cl: 0.0000 0.5000 0.5000  4 Ir 2.57, 2 Se 2.82, 2 Cl 2.84
Ir: 0.0000 0.0000 0.5000  2 Cl 2.57, 2 Se 2.57, 4 Ir 2.82-2.84
Ir: 0.0000 0.5000 0.0000  2 Se 2.57, 2 Cl 2.57, 4 Ir 2.82-2.84

Calculated values
energy relative to the elements, uncorrected: 68.90 kJ per mole of atoms
offset from the most stable computed form: 0.111 eV/atom

[11]
DFT (GGA-PBEsol) results for an optimized crystal structure of BeFePCl2.

Cell lengths 4.3634, 4.5421, 4.5421 Å; angles 90.00, 90.00, 90.00 degrees
Closest atoms and distances in Å follow each position.
Fractional positions:
Fe: 0.0000 0.0000 0.0000  2 P 2.18, 4 Cl 2.27
Cl: 0.0000 0.0000 0.5000  2 Fe 2.27
Cl: 0.0000 0.5000 0.0000  2 Fe 2.27
P: 0.5000 0.0000 0.0000  2 Fe 2.18
Be: 0.5000 0.5000 0.5000  8 Cl 3.15, 4 P 3.21

Calculated values
energy relative to the elements, uncorrected: 50.90 kJ per mole of atoms

[12]
DFT (GGA-PBEsol) results for an optimized crystal structure of Zr8Cd.

Cell lengths 4.2394, 7.1165, 7.1165 Å; angles 84.91, 72.67, 72.67 degrees
Closest atoms and distances in Å follow each position.
Fractional positions:
Zr: 0.0000 0.3335 0.6665  11 Zr 3.10-3.20, 1 Cd 3.20
Zr: 0.0000 0.6665 0.3335  11 Zr 3.10-3.20, 1 Cd 3.20
Zr: 0.6675 0.6650 0.0000  10 Zr 3.09-3.22, 2 Cd 3.11
Zr: 0.3325 0.3350 0.0000  10 Zr 3.09-3.22, 2 Cd 3.11
Zr: 0.3325 0.0000 0.3350  10 Zr 3.09-3.22, 2 Cd 3.11
Zr: 0.6665 0.3335 0.3335  11 Zr 3.10-3.20, 1 Cd 3.20
Zr: 0.3335 0.6665 0.6665  11 Zr 3.10-3.20, 1 Cd 3.20
Zr: 0.6675 0.0000 0.6650  10 Zr 3.09-3.22, 2 Cd 3.11
Cd: 0.0000 0.0000 0.0000  12 Zr 3.11-3.20

Calculated values
energy of formation from the pure elements: -0.021 eV/atom

Which formula does entry 5 have? SiSnSb2Te

Which formula does entry 8 have? BePb3Se